The following is a PBE calculation of a geometry-optimized ZnC2 structure, from Alexandria.

Output
V (Å³/cell): 31.2
M_tot (μB/cell): 0.000
Uncorrected energy (eV/f.u.): -11.9
Energy above the lowest structure with this stoichiometry (meV/atom): 2474
Fermi-level density of states (states/eV/f.u.): 1.01
ΔH_f (0 K) (kJ/mol of formula units): 753.7

Cell: 3.534 3.534 3.534 Å, 60.00 60.00 60.00°
Fractional positions:
Zn 0.000 0.000 0.000
C 0.750 0.750 0.750
C 0.250 0.250 0.250

***

The following is a PBE calculation of a geometry-optimized ZnC structure, from Alexandria.

Output
V (Å³/cell): 211.7
M_tot (μB/cell): 0.000
Uncorrected energy (eV/f.u.): -9.3
Energy above the lowest structure with this stoichiometry (meV/atom): 523
Fermi-level density of states (states/eV/f.u.): 0.41
ΔH_f (0 K) (kJ/mol of formula units): 116.9

Cell: 9.129 9.129 2.540 Å, 90.00 90.00 90.00°
Fractional positions:
Zn 0.202 0.952 0.000
Zn 0.048 0.202 0.000
Zn 0.798 0.048 0.000
Zn 0.952 0.798 0.000
Zn 0.308 0.193 0.500
Zn 0.807 0.308 0.500
Zn 0.692 0.807 0.500
Zn 0.193 0.692 0.500
C 0.193 0.469 0.500
C 0.600 0.184 0.000
C 0.469 0.807 0.500
C 0.531 0.193 0.500
C 0.807 0.531 0.500
C 0.184 0.400 0.000
C 0.816 0.600 0.000
C 0.400 0.816 0.000

***

The following is a PBE calculation of a geometry-optimized ZnC structure, from Alexandria.

Output
V (Å³/cell): 188.8
M_tot (μB/cell): 0.000
Uncorrected energy (eV/f.u.): -7.0
Energy above the lowest structure with this stoichiometry (meV/atom): 1648
Fermi-level density of states (states/eV/f.u.): 0.64
ΔH_f (0 K) (kJ/mol of formula units): 333.8

Cell: 5.737 5.737 5.737 Å, 90.00 90.00 90.00°
Fractional positions:
Zn 0.250 0.000 0.500
Zn 0.000 0.500 0.750
Zn 0.500 0.750 0.000
Zn 0.500 0.250 0.000
Zn 0.000 0.500 0.250
Zn 0.750 0.000 0.500
C 0.500 0.000 0.750
C 0.000 0.750 0.500
C 0.000 0.250 0.500
C 0.750 0.500 0.000
C 0.250 0.500 0.000
C 0.500 0.000 0.250

***

The following is a PBE calculation of a geometry-optimized Zn3C4 structure, from Alexandria.

Output
V (Å³/cell): 82.4
M_tot (μB/cell): 0.000
Uncorrected energy (eV/f.u.): -33.3
Energy above the lowest structure with this stoichiometry (meV/atom): 0
Fermi-level density of states (states/eV/f.u.): 0.26
ΔH_f (0 K) (kJ/mol of formula units): 719.5

Cell: 6.053 6.053 2.596 Å, 90.00 90.00 120.00°
Fractional positions:
C 0.000 0.000 0.250
C 0.667 0.333 0.500
C 0.333 0.667 0.500
C 0.000 0.000 0.750
Zn 0.500 0.500 0.000
Zn 0.000 0.500 0.000
Zn 0.500 0.000 0.000

***

The following is a PBE calculation of a geometry-optimized ZnC structure, from Alexandria.

Output
V (Å³/cell): 143.0
M_tot (μB/cell): 0.000
Uncorrected energy (eV/f.u.): -8.7
Energy above the lowest structure with this stoichiometry (meV/atom): 797
Fermi-level density of states (states/eV/f.u.): 0.63
ΔH_f (0 K) (kJ/mol of formula units): 169.7

Cell: 2.646 6.749 8.007 Å, 90.00 90.00 90.00°
Fractional positions:
C 0.500 0.541 0.500
C 0.000 0.951 0.742
C 0.000 0.459 0.000
C 0.500 0.049 0.758
C 0.500 0.049 0.242
C 0.000 0.951 0.258
Zn 0.000 0.780 0.500
Zn 0.500 0.220 0.000
Zn 0.000 0.664 0.176
Zn 0.500 0.336 0.676
Zn 0.000 0.664 0.824
Zn 0.500 0.336 0.324

***

The following is a PBE calculation of a geometry-optimized ZnC2 structure, from Alexandria.

Output
V (Å³/cell): 62.0
M_tot (μB/cell): 0.000
Uncorrected energy (eV/f.u.): -11.3
Energy above the lowest structure with this stoichiometry (meV/atom): 2677
Fermi-level density of states (states/eV/f.u.): 1.61
ΔH_f (0 K) (kJ/mol of formula units): 812.6

Cell: 3.490 3.490 5.884 Å, 90.00 90.00 120.00°
Fractional positions:
C 0.000 0.000 0.000
C 0.667 0.333 0.750
C 0.000 0.000 0.500
C 0.333 0.667 0.250
Zn 0.333 0.667 0.750
Zn 0.667 0.333 0.250

***

Number 5 is which compound? ZnC